MgBI2N PBE optimized geometry; E_form (uncorrected) = 1137 meV per atom; space group = P4/mmm; theoretical density = 3660 kg/m3; polymorph energy (0 for the lowest one) = 5.59 eV per formula unit
1.0
-1.597 4.540 3.235
-2.023 -3.608 4.064
3.662 -0.007 1.817
I Mg B N
2 1 1 1
direct
0.000 0.500 0.000
0.500 0.000 0.000
0.000 0.000 0.000
0.500 0.500 0.500
0.000 0.000 0.500


K3HIr PBE optimized geometry; space group = Pm-3m; theoretical density = 3666 kg/m3; polymorph energy (0 for the lowest one) = 0.00 eV per formula unit
1.0
-3.371 -3.264 -2.242
3.637 -3.716 -0.058
-1.565 -1.606 4.692
H K Ir
1 3 1
direct
0.000 0.000 0.000
0.000 0.500 0.000
0.000 0.000 0.500
0.500 0.000 0.000
0.500 0.500 0.500


Sm4Si3Rh PBE optimized geometry; E_form (uncorrected) = -769 meV per atom; space group = Pmm2; theoretical density = 7043 kg/m3
1.0
4.330 0.000 0.000
0.000 3.935 0.000
0.000 0.000 10.912
Sm Si Rh
4 3 1
direct
0.500 0.500 0.356
0.000 0.500 0.859
0.000 0.000 0.137
0.500 0.000 0.643
0.000 0.500 0.572
0.000 0.000 0.432
0.500 0.000 0.929
0.500 0.500 0.073